This record from Alexandria describes a relaxed In2CoNi crystal. The functional is PBE.

```
In2CoNi
1.0
4.5082 0.0000 0.0000
2.2541 3.9042 0.0000
2.2541 1.3014 3.6809
In Co Ni
2 1 1
Direct
0.2500 0.2500 0.2500
0.0000 0.0000 0.0000
0.5000 0.5000 0.5000
0.7500 0.7500 0.7500
```

Computed properties:
Space group: F-43m
Mass density: 8.90 g/cm3
Total DFT energy (no corrections): -16.96 eV/cell
Offset from the most stable computed form: 326 meV per atom



This record from Alexandria describes a relaxed AlHOs2 crystal. The functional is PBE.

```
AlHOs2
1.0
-0.6154 5.6038 -2.5034
-4.6421 1.2209 3.8741
-1.0323 4.3151 2.3138
H Os Al
2 4 2
Direct
0.5000 0.5000 0.0000
0.2500 0.7500 0.5000
0.3750 0.4734 0.7500
0.2234 0.6250 0.2500
0.8750 0.7766 0.7500
0.5266 0.1250 0.2500
0.7500 0.2500 0.5000
0.0000 0.0000 0.0000
```

Computed properties:
Space group: I-42d
Mass density: 14.54 g/cm3
Total DFT energy (no corrections): -57.29 eV/cell
Offset from the most stable computed form: 0 meV per atom



This record from Alexandria describes a relaxed Cu4Se3I crystal. The functional is PBE.

```
Cu4Se3I
1.0
-0.8770 6.1474 2.4908
-6.6856 -0.4010 -1.3643
-1.2709 -3.0704 7.1305
Se Cu I
6 8 2
Direct
0.9986 0.6644 0.7477
0.9959 0.1773 0.5000
0.4986 0.3356 0.7523
0.9986 0.6644 0.2523
0.4959 0.8227 0.0000
0.4986 0.3356 0.2477
0.0934 0.8432 0.5000
0.1424 0.7969 0.0000
0.6424 0.2031 0.5000
0.6456 0.6526 0.7702
0.1456 0.3474 0.2702
0.1456 0.3474 0.7298
0.6456 0.6526 0.2298
0.5934 0.1568 0.0000
0.9950 0.1596 0.0000
0.4950 0.8404 0.5000
```

Computed properties:
Space group: Pmn2_1
Mass density: 5.70 g/cm3
Total DFT energy (no corrections): -58.75 eV/cell
Offset from the most stable computed form: 0 meV per atom



This record from Alexandria describes a relaxed In5Sn7 crystal. The functional is PBE.

```
In5Sn7
1.0
3.3480 0.0000 0.0000
0.0000 9.6557 0.0000
0.0000 0.0000 10.2589
Sn In
7 5
Direct
0.0000 0.5013 0.1646
0.5000 0.7519 0.6662
0.5000 0.7519 0.3338
0.0000 0.9955 0.5000
0.0000 0.5013 0.8354
0.5000 0.2535 0.0000
0.5000 0.7463 0.0000
0.0000 0.9992 0.1653
0.5000 0.2485 0.3316
0.0000 0.5028 0.5000
0.5000 0.2485 0.6684
0.0000 0.9992 0.8347
```

Computed properties:
Space group: Pmm2
Mass density: 7.04 g/cm3
Total DFT energy (no corrections): -41.34 eV/cell



This record from Alexandria describes a relaxed K4PmNd3Te8 crystal. The functional is PBE.

```
K4PmNd3Te8
1.0
-7.9068 1.1104 -4.6229
-1.9665 -9.5712 1.0644
1.6331 4.9618 7.6051
Te Pm K Nd
8 1 4 3
Direct
0.7396 0.7142 0.9771
0.7384 0.7150 0.4769
0.7626 0.2858 0.5252
0.7625 0.2858 0.0229
0.2375 0.7142 0.9771
0.2604 0.2858 0.0229
0.2374 0.7142 0.4748
0.2616 0.2850 0.5231
0.0000 0.5000 0.0000
0.0000 0.0000 0.5000
0.0000 0.0000 0.0000
0.5000 0.0000 0.5000
0.5000 0.0000 0.0000
0.5000 0.5000 0.5000
0.0000 0.5000 0.5000
0.5000 0.5000 0.0000
```

Computed properties:
Space group: R-3m
Mass density: 4.79 g/cm3
Total DFT energy (no corrections): -71.25 eV/cell



This record from Alexandria describes a relaxed MgMnTe2 crystal. The functional is PBE.

```
MgMnTe2
1.0
-4.0329 1.5106 1.4772
-1.5850 -0.0582 -4.2677
-1.9669 -6.0462 0.8129
Mn Te Mg
1 2 1
Direct
0.5000 0.5000 0.5000
0.5000 0.0000 0.7410
0.0000 0.5000 0.2590
0.0000 0.0000 0.0000
```

Computed properties:
Space group: P-4m2
Mass density: 4.18 g/cm3
Total DFT energy (no corrections): -18.97 eV/cell



This record from Alexandria describes a relaxed AcPrGe4 crystal. The functional is PBE.

```
AcPrGe4
1.0
4.2965 0.0000 0.0000
0.0000 7.6981 0.0000
0.0000 0.0000 18.2599
Pr Ge Ac
4 16 4
Direct
0.0000 0.7327 0.0619
0.0000 0.2327 0.4381
0.0000 0.7673 0.5619
0.0000 0.2673 0.9381
0.5000 0.5407 0.1836
0.5000 0.1009 0.5565
0.5000 0.1281 0.8172
0.5000 0.8991 0.4435
0.5000 0.6282 0.6828
0.5000 0.9593 0.6836
0.5000 0.6009 0.9435
0.5000 0.4593 0.8164
0.5000 0.0596 0.0640
0.5000 0.3718 0.3172
0.5000 0.5596 0.4360
0.5000 0.3991 0.0565
0.5000 0.9404 0.9360
0.5000 0.8718 0.1828
0.5000 0.4404 0.5640
0.5000 0.0407 0.3164
0.0000 0.2111 0.1882
0.0000 0.7889 0.8118
0.0000 0.2889 0.6882
0.0000 0.7111 0.3118
```

Computed properties:
Space group: Pbam
Mass density: 7.24 g/cm3
Total DFT energy (no corrections): -123.75 eV/cell
Offset from the most stable computed form: 0 meV per atom



This record from Alexandria describes a relaxed Li2SiPt crystal. The functional is PBE.

```
Li2SiPt
1.0
-2.5228 -1.9342 0.1875
1.0976 -1.6717 -2.4782
2.8486 -3.3726 3.5367
Pt Li Si
1 2 1
Direct
0.0000 0.0000 0.5248
0.5000 0.5000 0.2538
0.0000 0.0000 0.9962
0.5000 0.5000 0.7252
```

Computed properties:
Space group: P4mm
Mass density: 6.86 g/cm3
Total DFT energy (no corrections): -17.13 eV/cell



This record from Alexandria describes a relaxed TcPt3Br crystal. The functional is PBE.

```
TcPt3Br
1.0
4.7202 0.0000 0.0000
0.0000 4.7202 0.0000
0.0000 0.0000 4.7202
Br Pt Tc
1 3 1
Direct
0.0000 0.0000 0.0000
0.0000 0.5000 0.0000
0.0000 0.0000 0.5000
0.5000 0.0000 0.0000
0.5000 0.5000 0.5000
```

Computed properties:
Space group: Pm-3m
Mass density: 12.05 g/cm3
Total DFT energy (no corrections): -22.63 eV/cell
Offset from the most stable computed form: 222 meV per atom



This record from Alexandria describes a relaxed ReP crystal. The functional is PBE.

```
ReP
1.0
-2.9391 -2.7252 -1.6528
-3.6553 -0.8283 2.1794
-3.7874 1.5223 -1.4613
Re P
2 2
Direct
0.5000 0.5000 0.5000
0.7500 0.7500 0.7500
0.2500 0.2500 0.2500
0.0000 0.0000 0.0000
```

Computed properties:
Space group: Fd-3m
Mass density: 12.52 g/cm3
Total DFT energy (no corrections): -32.96 eV/cell
Offset from the most stable computed form: 979 meV per atom



This record from Alexandria describes a relaxed LaDy5Hg4 crystal. The functional is PBE.

```
LaDy5Hg4
1.0
3.7107 0.0000 0.0000
0.0000 3.7107 0.0000
0.0000 0.0000 19.9597
Dy La Hg
5 1 4
Direct
0.5000 0.5000 0.5000
0.5000 0.5000 0.1268
0.5000 0.5000 0.6867
0.5000 0.5000 0.3133
0.5000 0.5000 0.8732
0.0000 0.0000 0.0000
0.0000 0.0000 0.4053
0.0000 0.0000 0.5947
0.0000 0.0000 0.7824
0.0000 0.0000 0.2176
```

Computed properties:
Space group: P4/mmm
Mass density: 10.60 g/cm3
Total DFT energy (no corrections): -32.94 eV/cell



This record from Alexandria describes a relaxed CeCdAs2 crystal. The functional is PBE.

```
CeCdAs2
1.0
-3.9310 -1.0949 -1.8571
-3.1360 -2.0691 2.4464
-5.2656 5.8352 2.2937
Cd Ce As
1 1 2
Direct
0.0000 0.0000 0.0000
0.5000 0.5000 0.5000
0.1079 0.1079 0.6764
0.8921 0.8921 0.3236
```

Computed properties:
Space group: R-3m
Mass density: 4.94 g/cm3
Total DFT energy (no corrections): -18.11 eV/cell
Offset from the most stable computed form: 235 meV per atom



This record from Alexandria describes a relaxed TiReIO2 crystal. The functional is PBE.

```
TiReIO2
1.0
3.8761 0.0000 0.0000
0.0000 3.8761 0.0000
0.0000 0.0000 5.9974
O Re I Ti
2 1 1 1
Direct
0.5000 0.0000 0.0000
0.0000 0.5000 0.0000
0.5000 0.5000 0.5000
0.0000 0.0000 0.5000
0.0000 0.0000 0.0000
```

Computed properties:
Space group: P4/mmm
Mass density: 7.24 g/cm3
Total DFT energy (no corrections): -33.42 eV/cell
Offset from the most stable computed form: 28 meV per atom



This record from Alexandria describes a relaxed CoSiMo crystal. The functional is PBE.

```
CoSiMo
1.0
4.7699 -0.0027 0.0000
-2.3074 4.1746 0.0000
0.0000 0.0000 7.4493
Co Mo Si
4 4 4
Direct
0.0024 0.9976 0.7381
0.1609 0.3516 0.0000
0.6484 0.8391 0.0000
0.0024 0.9976 0.2619
0.3376 0.6624 0.6829
0.3376 0.6624 0.3171
0.6702 0.3298 0.8128
0.6702 0.3298 0.1872
0.8333 0.1667 0.5000
0.8347 0.6581 0.5000
0.1602 0.8398 0.0000
0.3419 0.1653 0.5000
```

Computed properties:
Space group: Amm2
Mass density: 8.20 g/cm3
Total DFT energy (no corrections): -97.74 eV/cell
Offset from the most stable computed form: 106 meV per atom



This record from Alexandria describes a relaxed Na2NbSi crystal. The functional is PBE.

```
Na2NbSi
1.0
8.4513 0.0000 0.0000
0.0000 8.4513 0.0000
4.2257 4.2257 2.6246
Na Si Nb
4 2 2
Direct
0.5865 0.1250 0.2500
0.3750 0.4135 0.7500
0.1635 0.6250 0.2500
0.8750 0.8365 0.7500
0.2500 0.7500 0.5000
0.5000 0.5000 0.0000
0.0000 0.0000 0.0000
0.7500 0.2500 0.5000
```

Computed properties:
Space group: I-42d
Mass density: 2.96 g/cm3
Total DFT energy (no corrections): -29.66 eV/cell
Offset from the most stable computed form: 0 meV per atom



This record from Alexandria describes a relaxed BeCO crystal. The functional is PBE.

```
BeCO
1.0
3.9824 0.0000 0.1181
0.0000 7.3819 0.0000
-2.6262 0.0000 4.2846
O C Be
4 4 4
Direct
0.2421 0.3138 0.2026
0.2421 0.8138 0.7026
0.2421 0.6862 0.2026
0.2421 0.1862 0.7026
0.8791 0.9083 0.5967
0.8791 0.5917 0.0967
0.8791 0.0917 0.5967
0.8791 0.4083 0.0967
0.4533 0.2912 0.0101
0.4533 0.2088 0.5101
0.4533 0.7088 0.0101
0.4533 0.7912 0.5101
```

Computed properties:
Space group: Cm
Mass density: 1.92 g/cm3
Total DFT energy (no corrections): -81.57 eV/cell
Offset from the most stable computed form: 856 meV per atom



This record from Alexandria describes a relaxed Na2PaPtO5 crystal. The functional is PBE.

```
Na2PaPtO5
1.0
6.0291 0.0000 0.0000
0.0000 6.0291 0.0000
-3.0145 -3.0145 6.2379
O Na Pa Pt
10 4 2 2
Direct
0.8551 0.9584 0.3135
0.0416 0.5416 0.6865
0.9584 0.4584 0.3135
0.6449 0.1449 0.6865
0.5416 0.6449 0.6865
0.5000 0.5000 0.0000
0.4584 0.3551 0.3135
0.3551 0.8551 0.3135
0.1449 0.0416 0.6865
0.0000 0.0000 0.0000
0.8333 0.6667 0.0000
0.6667 0.1667 0.0000
0.1667 0.3333 0.0000
0.3333 0.8333 0.0000
0.7500 0.7500 0.5000
0.2500 0.2500 0.5000
0.7500 0.2500 0.5000
0.2500 0.7500 0.5000
```

Computed properties:
Space group: I4/mcm
Mass density: 8.09 g/cm3
Total DFT energy (no corrections): -111.30 eV/cell